# 1
## AlTl2CoBi (PBEsol)

Data for a geometry-optimized AlTl2CoBi structure.

Unit cell a=5.2952 b=5.2952 c=4.4701 alpha=90.00 beta=90.00 gamma=90.00
Space group P4/mmm (No. 123)
Asymmetric unit:
Al: 0.0000 0.0000 0.0000 (multiplicity 1)
Tl: 0.0000 0.5000 0.0000 (multiplicity 2)
Co: 0.0000 0.0000 0.5000 (multiplicity 1)
Bi: 0.5000 0.5000 0.5000 (multiplicity 1)

Results
For the total energy, the calculation gives -17.945 eV per cell. As for the energy relative to the elements: 3.429 eV per formula unit.



# 2
## BaReSe2 (PBEsol)

Data for a geometry-optimized BaReSe2 structure.

Unit cell a=3.7792 b=3.7792 c=27.0287 alpha=90.00 beta=90.00 gamma=120.00
Space group R-3m (No. 166, hexagonal axes)
Asymmetric unit:
Ba: 0.0000 0.0000 0.0000 (multiplicity 3)
Re: 0.0000 0.0000 0.5000 (multiplicity 3)
Se: 0.0000 0.0000 0.1175 (multiplicity 6)

Results
The value obtained for the uncorrected formation energy is -0.010 eV/atom. For the total energy, the calculation gives -69.659 eV per cell.



# 3
## CsNdHgSe3 (PBEsol)

Data for a geometry-optimized CsNdHgSe3 structure.

Unit cell a=4.3056 b=15.8299 c=11.1537 alpha=90.00 beta=90.00 gamma=90.00
Space group Cmcm (No. 63)
Asymmetric unit:
Cs: 0.0000 0.2459 0.2500 (multiplicity 4)
Nd: 0.0000 0.5000 0.0000 (multiplicity 4)
Hg: 0.0000 0.0412 0.7500 (multiplicity 4)
Se: 0.0000 0.1245 0.5481 (multiplicity 8)
Se: 0.0000 0.4347 0.7500 (multiplicity 4)

Results
The value obtained for the uncorrected formation energy is -1.244 eV/atom. For the total energy, the calculation gives -102.754 eV per cell.



# 4
## CaTeO3 (PBEsol)

Data for a geometry-optimized CaTeO3 structure.

Unit cell a=4.2086 b=4.2086 c=4.2086 alpha=90.00 beta=90.00 gamma=90.00
Space group Pm-3m (No. 221)
Asymmetric unit:
Ca: 0.0000 0.0000 0.0000 (multiplicity 1)
Te: 0.5000 0.5000 0.5000 (multiplicity 1)
O: 0.0000 0.5000 0.5000 (multiplicity 3)

Results
The value obtained for the uncorrected formation energy is -1.586 eV/atom. For the total energy, the calculation gives -29.339 eV per cell.



How do the records compare in M_tot? In the order shown, they have 0.99 5.04 0.00 0.00 μB per cell.